DFT (PBE-GGA) results for CaLa2VSi after structural relaxation.

Output
The value obtained for the uncorrected formation energy is 0.769 eV/f.u. The value obtained for the density of states at the Fermi level is 1.100 states/eV/atom.

```
data_CaLa2VSi
_cell_length_a 5.871
_cell_length_b 4.784
_cell_length_c 5.871
_cell_angle_alpha 90.00
_cell_angle_beta 90.00
_cell_angle_gamma 90.00
_space_group_name_H-M_alt 'P 1'
_space_group_IT_number 1
loop_
_space_group_symop_operation_xyz
'x,y,z'
loop_
_atom_site_label
_atom_site_fract_x
_atom_site_fract_y
_atom_site_fract_z
Ca1 0.500 0.500 0.500
V1 0.000 0.500 0.000
Si1 0.000 0.000 0.000
La1 0.000 0.000 0.500
La2 0.500 0.000 0.000
```